Density functional theory data (PBE-GGA) for CsFe3Si after structural relaxation.

Cell lengths 4.7168, 4.7168, 4.7168 Å; angles 90.00, 90.00, 90.00 degrees
Space group Pm-3m (No. 221)
Asymmetric unit:
Cs (0.0000, 0.0000, 0.0000) (multiplicity 1)
Fe (0.0000, 0.5000, 0.5000) (multiplicity 3)
Si (0.5000, 0.5000, 0.5000) (multiplicity 1)

Results
Energy relative to the elements, uncorrected = 1.015 eV per atom
VASP energy = -5.3184 eV/atom
N(E_F) = 5.09 states/eV per cell



Density functional theory data (PBE-GGA) for Y2TmSn9 after structural relaxation.

Cell lengths 4.7912, 4.7912, 13.6828 Å; angles 90.00, 90.00, 90.00 degrees
Space group P4/mmm (No. 123)
Asymmetric unit:
Y (0.0000, 0.0000, 0.1671) (multiplicity 2)
Tm (0.0000, 0.0000, 0.5000) (multiplicity 1)
Sn (0.0000, 0.5000, 0.0000) (multiplicity 2)
Sn (0.0000, 0.5000, 0.3353) (multiplicity 4)
Sn (0.5000, 0.5000, 0.1676) (multiplicity 2)
Sn (0.5000, 0.5000, 0.5000) (multiplicity 1)

Results
Calculated formation energy = -0.409 eV/atom
VASP energy = -4.8615 eV/atom
N(E_F) = 5.24 states/eV per cell



Density functional theory data (PBE-GGA) for Sr2TlAg after structural relaxation.

Cell lengths 4.8257, 4.8257, 11.3917 Å; angles 90.00, 90.00, 90.00 degrees
Space group I-4m2 (No. 119)
Asymmetric unit:
Sr (0.0000, 0.0000, 0.0000) (multiplicity 2)
Sr (0.0000, 0.5000, 0.2500) (multiplicity 2)
Tl (0.0000, 0.5000, 0.7500) (multiplicity 2)
Ag (0.0000, 0.0000, 0.5000) (multiplicity 2)

Results
Calculated formation energy = -0.165 eV/atom
VASP energy = -2.3108 eV/atom
N(E_F) = 6.81 states/eV per cell



Density functional theory data (PBE-GGA) for SbAu2O after structural relaxation.

Cell lengths 6.5514, 6.5514, 6.5514 Å; angles 90.00, 90.00, 90.00 degrees
Space group Fm-3m (No. 225)
Asymmetric unit:
Sb (0.0000, 0.0000, 0.0000) (multiplicity 4)
Au (0.2500, 0.2500, 0.2500) (multiplicity 8)
O (0.0000, 0.0000, 0.5000) (multiplicity 4)

Results
Energy relative to the elements, uncorrected = 0.379 eV per atom
VASP energy = -3.5301 eV/atom
N(E_F) = 21.51 states/eV per cell



Density functional theory data (PBE-GGA) for Zr2SbBr after structural relaxation.

Cell lengths 3.8417, 5.4404, 8.8162 Å; angles 90.00, 90.00, 90.00 degrees
Space group Cmmm (No. 65)
Asymmetric unit:
Zr (0.0000, 0.0000, 0.2439) (multiplicity 4)
Sb (0.0000, 0.5000, 0.0000) (multiplicity 2)
Br (0.0000, 0.5000, 0.5000) (multiplicity 2)

Results
Energy relative to the elements, uncorrected = -0.293 eV per atom
VASP energy = -6.0158 eV/atom
N(E_F) = 8.19 states/eV per cell



Density functional theory data (PBE-GGA) for ZrSiAu2 after structural relaxation.

Cell lengths 3.1162, 3.1162, 26.4917 Å; angles 90.00, 90.00, 120.00 degrees
Space group R3m (No. 160, hexagonal axes)
Asymmetric unit:
Zr (0.0000, 0.0000, 0.0000) (multiplicity 3)
Si (0.0000, 0.0000, 0.2492) (multiplicity 3)
Au (0.0000, 0.0000, 0.5105) (multiplicity 3)
Au (0.0000, 0.0000, 0.7538) (multiplicity 3)

Results
Energy relative to the elements, uncorrected = -0.091 eV per atom
VASP energy = -5.2226 eV/atom
N(E_F) = 6.29 states/eV per cell